No. 1
Crystalline Fe6CoPt5 at its relaxed geometry, computed with GGA-PBE.

Cell lengths 3.8379, 7.4451, 11.4506 Å; angles 90.00, 90.00, 90.00 degrees
Space group Immm (No. 71)
Asymmetric unit:
Fe 0.0000 0.2434 0.0000
Fe 0.0000 0.2550 0.3377
Co 0.0000 0.5000 0.5000
Pt 0.0000 0.0000 0.1629
Pt 0.0000 0.0000 0.5000
Pt 0.0000 0.5000 0.1674

Output
The formation energy comes out at -195.2 meV per atom. As for the raw total energy: -7.536 eV per atom. Its density of states at the Fermi level is 20.6 states/eV per cell.

No. 2
Crystalline Rb2MgIn4Ge3 at its relaxed geometry, computed with GGA-PBE.

Cell lengths 4.9653, 4.9653, 11.7354 Å; angles 90.00, 90.00, 90.00 degrees
Space group P-4m2 (No. 115)
Asymmetric unit:
Rb 0.0000 0.5000 0.2441
Mg 0.0000 0.0000 0.5000
In 0.0000 0.0000 0.0000
In 0.0000 0.5000 0.6360
In 0.5000 0.5000 0.0000
Ge 0.0000 0.5000 0.8736
Ge 0.5000 0.5000 0.5000

Output
The formation energy comes out at -55.2 meV per atom. As for the raw total energy: -2.889 eV per atom. Its density of states at the Fermi level is 4.0 states/eV per cell.

No. 3
Crystalline NaMn3W at its relaxed geometry, computed with GGA-PBE.

Cell lengths 4.8105, 4.8105, 4.8105 Å; angles 90.00, 90.00, 90.00 degrees
Space group Pm-3m (No. 221)
Asymmetric unit:
Na 0.0000 0.0000 0.0000
Mn 0.0000 0.5000 0.5000
W 0.5000 0.5000 0.5000

Output
For the polymorph energy (0 for the lowest one), the calculation gives 0 meV per atom. The formation energy comes out at 1206.7 meV per atom. As for the raw total energy: -7.150 eV per atom. Its density of states at the Fermi level is 5.8 states/eV per cell.

No. 4
Crystalline Ca2PrAu3 at its relaxed geometry, computed with GGA-PBE.

Cell lengths 5.1861, 15.5765, 3.6959 Å; angles 90.00, 90.00, 90.00 degrees
Space group Cmmm (No. 65)
Asymmetric unit:
Ca 0.0000 0.1694 0.0000
Pr 0.0000 0.5000 0.0000
Au 0.0000 0.0000 0.5000
Au 0.0000 0.3356 0.5000

Output
For the polymorph energy (0 for the lowest one), the calculation gives 18 meV per atom. The formation energy comes out at -780.6 meV per atom. As for the raw total energy: -3.883 eV per atom. Its density of states at the Fermi level is 8.5 states/eV per cell.

Please write out number 3 again, unchanged.
Crystalline NaMn3W at its relaxed geometry, computed with GGA-PBE.

Cell lengths 4.8105, 4.8105, 4.8105 Å; angles 90.00, 90.00, 90.00 degrees
Space group Pm-3m (No. 221)
Asymmetric unit:
Na 0.0000 0.0000 0.0000
Mn 0.0000 0.5000 0.5000
W 0.5000 0.5000 0.5000

Output
For the polymorph energy (0 for the lowest one), the calculation gives 0 meV per atom. The formation energy comes out at 1206.7 meV per atom. As for the raw total energy: -7.150 eV per atom. Its density of states at the Fermi level is 5.8 states/eV per cell.